## Ac2Ni3Ge (PBE)

Data for a relaxed Ac2Ni3Ge crystal.

Cell: 4.2829 4.1734 7.3484 Å, 90.00 90.00 90.00°
With the nearest neighbours (Å) after each atom.
Fractional positions:
1 Ni 0.5000 0.0000 0.8351  3 Ni 2.43-2.45
2 Ni 0.5000 0.5000 0.6612  1 Ge 2.44, 2 Ni 2.45
3 Ni 0.5000 0.0000 0.1658  2 Ge 2.41, 1 Ni 2.43
4 Ge 0.5000 0.5000 0.3297  3 Ni 2.41-2.44
5 Ac 0.0000 0.5000 0.9938  10 Ni 3.21-3.25, 2 Ge 3.27
6 Ac 0.0000 0.0000 0.5143  8 Ni 3.18-3.34, 4 Ge 3.28

Calculated values
Electronic total energy (eV per atom): -5.465
Energy of formation from the pure elements (eV per atom): -0.435
N(E_F) (states/eV/atom): 0.6869